(1)
The following is a DFT calculation (GGA-PBE) of a geometry-optimized LiTbNd structure.

Calculated values
ΔE_f = 83 meV/atom
crystal system = tetragonal
volume = 87 Å³ per cell
energy relative to the lowest polymorph listed for this composition = 30 meV/atom

a b c (Å): 3.739 3.739 6.760
angles (deg): 106.05 106.05 90.00
Sites, in units of the cell vectors:
Tb1 0.318 0.318 0.635
Nd1 0.013 0.013 0.025
Li1 0.670 0.670 0.340

***

(2)
The following is a DFT calculation (GGA-PBE) of a geometry-optimized Be2AlPt2 structure.

Calculated values
ΔE_f = -641 meV/atom
crystal system = tetragonal
volume = 129 Å³ per cell
energy relative to the lowest polymorph listed for this composition = 81 meV/atom

a b c (Å): 6.805 6.805 2.792
angles (deg): 90.00 90.00 90.00
Sites, in units of the cell vectors:
Be1 0.136 0.636 0.500
Be2 0.636 0.864 0.500
Be3 0.864 0.364 0.500
Be4 0.364 0.136 0.500
Al1 0.000 0.000 0.000
Al2 0.500 0.500 0.000
Pt1 0.342 0.842 0.000
Pt2 0.842 0.658 0.000
Pt3 0.658 0.158 0.000
Pt4 0.158 0.342 0.000

***

(3)
The following is a DFT calculation (GGA-PBE) of a geometry-optimized Ac2Dy2Te7 structure.

Calculated values
crystal system = orthorhombic
volume = 420 Å³ per cell
ΔE_f (raw) = -1132.9 meV/atom

a b c (Å): 7.880 6.816 7.880
angles (deg): 90.00 96.53 90.00
Sites, in units of the cell vectors:
Ac1 0.764 0.500 0.764
Ac2 0.236 0.500 0.236
Dy1 0.728 0.000 0.272
Dy2 0.272 0.000 0.728
Te1 0.000 0.253 0.500
Te2 0.500 0.747 0.000
Te3 0.000 0.747 0.500
Te4 0.500 0.253 0.000
Te5 0.000 0.000 0.000
Te6 0.500 0.758 0.500
Te7 0.500 0.242 0.500

***

(4)
The following is a DFT calculation (GGA-PBE) of a geometry-optimized Ho2MgSe3 structure.

Calculated values
crystal system = tetragonal
volume = 137 Å³ per cell
ΔE_f (raw) = -1540.5 meV/atom

a b c (Å): 3.983 3.983 9.113
angles (deg): 102.63 102.63 90.00
Sites, in units of the cell vectors:
Ho1 0.110 0.111 0.226
Ho2 0.758 0.759 0.522
Mg1 0.434 0.436 0.874
Se1 0.934 0.936 0.874
Se2 0.278 0.279 0.561
Se3 0.591 0.592 0.187

***

Total magnetization list, top to bottom, in μB/f.u.: 0.0 0.0 0.0 0.0
Density list, top to bottom, in Mg/m³: 5.920 11.179 6.605 7.140